(1)
DFT (PBE-GGA) results for crystalline TlPt2O2 at its relaxed geometry.

The space group is I4/mmm (No. 139) and the conventional cell measures 4.1995, 4.1995 and 10.1428 Å, with angles of 90.00, 90.00 and 90.00 degrees. Symmetry generates all atoms from Tl at (0.0000, 0.0000, 0.0000), Pt at (0.0000, 0.0000, 0.2999) and O at (0.0000, 0.5000, 0.2500).

Its density of states at the Fermi level is 2.39 states/eV/f.u. For the theoretical density, the calculation gives 11.63 Mg/m³. The uncorrected energy comes out at -4.77 eV per atom. The total magnetization comes out at 0.0 μB/f.u.

***

(2)
DFT (PBE-GGA) results for crystalline Tl2PtO at its relaxed geometry.

The space group is I-42d (No. 122) and the conventional cell measures 6.6004, 6.6004 and 7.6548 Å, with angles of 90.00, 90.00 and 90.00 degrees. Symmetry generates all atoms from Tl at (0.2050, 0.7500, 0.1250), Pt at (0.0000, 0.0000, 0.5000) and O at (0.0000, 0.0000, 0.0000).

Its density of states at the Fermi level is 0.48 states/eV/f.u. For the theoretical density, the calculation gives 12.35 Mg/m³. The calculation puts the energy above the most stable polymorph in this dataset at 0 meV/atom. The uncorrected energy comes out at -4.10 eV per atom. The total magnetization comes out at 0.0 μB/f.u.

***

(3)
DFT (PBE-GGA) results for crystalline Tl2Pt2O at its relaxed geometry.

The space group is I4/mmm (No. 139) and the conventional cell measures 3.6724, 3.6724 and 14.9662 Å, with angles of 90.00, 90.00 and 90.00 degrees. Symmetry generates all atoms from Tl at (0.0000, 0.0000, 0.0946), Pt at (0.0000, 0.5000, 0.2500) and O at (0.0000, 0.0000, 0.5000).

Its density of states at the Fermi level is 2.39 states/eV/f.u. For the theoretical density, the calculation gives 13.41 Mg/m³. The calculation puts the energy above the most stable polymorph in this dataset at 0 meV/atom. The uncorrected energy comes out at -4.23 eV per atom. The total magnetization comes out at 0.0 μB/f.u.

***

(4)
DFT (PBE-GGA) results for crystalline Tl2PtO at its relaxed geometry.

The space group is Fm-3m (No. 225) and the conventional cell measures 6.7261, 6.7261 and 6.7261 Å, with angles of 90.00, 90.00 and 90.00 degrees. Symmetry generates all atoms from Tl at (0.2500, 0.2500, 0.2500), Pt at (0.0000, 0.0000, 0.0000) and O at (0.0000, 0.0000, 0.5000).

Its density of states at the Fermi level is 5.36 states/eV/f.u. For the theoretical density, the calculation gives 13.53 Mg/m³. The calculation puts the energy above the most stable polymorph in this dataset at 352 meV/atom. The uncorrected energy comes out at -3.75 eV per atom. The total magnetization comes out at 0.9 μB/f.u.

***

(5)
DFT (PBE-GGA) results for crystalline TlPt3O at its relaxed geometry.

The space group is Pm-3m (No. 221) and the conventional cell measures 4.3801, 4.3801 and 4.3801 Å, with angles of 90.00, 90.00 and 90.00 degrees. Symmetry generates all atoms from Tl at (0.0000, 0.0000, 0.0000), Pt at (0.0000, 0.5000, 0.5000) and O at (0.5000, 0.5000, 0.5000).

Its density of states at the Fermi level is 5.65 states/eV/f.u. For the theoretical density, the calculation gives 15.92 Mg/m³. The calculation puts the energy above the most stable polymorph in this dataset at 0 meV/atom. The uncorrected energy comes out at -4.61 eV per atom. The total magnetization comes out at 0.0 μB/f.u.

***

(6)
DFT (PBE-GGA) results for crystalline Tl2Pt2O7 at its relaxed geometry.

The space group is Fd-3m (No. 227, origin choice 2) and the conventional cell measures 10.3332, 10.3332 and 10.3332 Å, with angles of 90.00, 90.00 and 90.00 degrees. Symmetry generates all atoms from Tl at (0.0000, 0.0000, 0.0000), Pt at (0.0000, 0.0000, 0.5000), O at (0.0844, 0.3750, 0.8750) and O at (0.1250, 0.1250, 0.1250).

For the theoretical density, the calculation gives 10.97 Mg/m³. The uncorrected energy comes out at -5.39 eV per atom. The total magnetization comes out at 0.0 μB/f.u.